No. 1
Dy4GaAsS2 GGA-PBE optimized geometry; spin magnetization = 0.0 Bohr magnetons per cell; space group = P2/m (10)
1.0
3.968 0.000 0.000
0.000 7.029 -0.178
0.000 2.438 6.585
Dy Ga S As
4 1 2 1
Direct
0.000 0.249 0.252 Dy
0.500 0.757 0.246 Dy
0.000 0.751 0.748 Dy
0.500 0.243 0.754 Dy
0.000 0.500 0.500 Ga
0.500 0.000 0.500 S
0.000 0.000 0.000 S
0.500 0.500 0.000 As

***

No. 2
Dy4GaAs2S GGA-PBE optimized geometry; spin magnetization = 0.0 Bohr magnetons per cell; space group = P2/m (10)
1.0
-1.687 1.009 -3.529
5.438 -2.788 -3.396
-1.367 -6.942 -1.332
Dy Ga As S
4 1 2 1
Direct
0.500 0.247 0.759 Dy
0.000 0.751 0.753 Dy
0.000 0.249 0.247 Dy
0.500 0.753 0.241 Dy
0.000 0.500 0.500 Ga
0.500 0.000 0.500 As
0.000 0.000 0.000 As
0.500 0.500 0.000 S

***

Number 1: formation energy without anion corrections -1.51 eV per atom. Number 2: formation energy without anion corrections -1.37 eV per atom.